# NbGeHAu2

A relaxed structure of NbGeHAu2 (GGA-PBE, Alexandria via LeMat-Bulk).

```
data_NbGeHAu2
_cell_length_a 4.765
_cell_length_b 4.765
_cell_length_c 4.968
_cell_angle_alpha 90.00
_cell_angle_beta 90.00
_cell_angle_gamma 90.00
_symmetry_space_group_name_H-M 'P 4/m m m'
_symmetry_Int_Tables_number 123
_symmetry_space_group_name_Hall '-P 4 2'
loop_
_atom_site_label
_atom_site_fract_x
_atom_site_fract_y
_atom_site_fract_z
Nb1 0.000 0.000 0.000
Ge1 0.000 0.000 0.500
H1 0.500 0.500 0.000
Au1 0.000 0.500 0.500
```

Summary:
Calculated total energy, eV per atom: -3.77

---

# PaCrAs2N

A relaxed structure of PaCrAs2N (GGA-PBE, Alexandria via LeMat-Bulk).

```
data_PaCrAs2N
_cell_length_a 3.782
_cell_length_b 3.782
_cell_length_c 12.294
_cell_angle_alpha 90.00
_cell_angle_beta 90.00
_cell_angle_gamma 90.00
_symmetry_space_group_name_H-M 'P 4/n m m'
_symmetry_Int_Tables_number 129
loop_
_symmetry_equiv_pos_as_xyz
'x,y,z'
'-x,-y,-z'
'-y+1/2,x,z'
'y+1/2,-x,-z'
'-x+1/2,-y+1/2,z'
'x+1/2,y+1/2,-z'
'y,-x+1/2,z'
'-y,x+1/2,-z'
'x+1/2,-y,-z'
'-x+1/2,y,z'
'-y,-x,-z'
'y,x,z'
'-x,y+1/2,-z'
'x,-y+1/2,z'
'y+1/2,x+1/2,-z'
'-y+1/2,-x+1/2,z'
loop_
_atom_site_label
_atom_site_fract_x
_atom_site_fract_y
_atom_site_fract_z
Pa1 0.250 0.250 0.102
Cr1 0.250 0.250 0.576
As1 0.250 0.250 0.378
As2 0.250 0.250 0.779
N1 0.250 0.750 0.000
```

Summary:
Formation energy (no corrections), meV/atom: -779

---

# LiRe2NiAs

A relaxed structure of LiRe2NiAs (GGA-PBE, Alexandria via LeMat-Bulk).

```
data_LiRe2NiAs
_cell_length_a 4.505
_cell_length_b 4.505
_cell_length_c 3.907
_cell_angle_alpha 90.00
_cell_angle_beta 90.00
_cell_angle_gamma 90.00
_symmetry_space_group_name_H-M 'P 4/m m m'
_symmetry_Int_Tables_number 123
_symmetry_space_group_name_Hall '-P 4 2'
loop_
_atom_site_label
_atom_site_fract_x
_atom_site_fract_y
_atom_site_fract_z
Li1 0.000 0.000 0.000
Re1 0.000 0.500 0.500
Ni1 0.000 0.000 0.500
As1 0.500 0.500 0.000
```

Summary:
Formation energy from the elements, eV per atom: 1.233

---

# NpTlICl4

A relaxed structure of NpTlICl4 (GGA-PBE, Alexandria via LeMat-Bulk).

```
data_NpTlICl4
_cell_length_a 12.560
_cell_length_b 11.448
_cell_length_c 9.150
_cell_angle_alpha 90.00
_cell_angle_beta 102.98
_cell_angle_gamma 90.00
_symmetry_space_group_name_H-M 'C 1 2/m 1'
_symmetry_Int_Tables_number 12
_symmetry_space_group_name_Hall '-C 2y'
loop_
_atom_site_label
_atom_site_fract_x
_atom_site_fract_y
_atom_site_fract_z
Np1 0.137 0.000 0.181
Tl1 0.163 0.500 0.218
I1 0.124 0.500 0.827
Cl1 0.085 0.000 0.873
Cl2 0.136 0.222 0.176
Cl3 0.162 0.000 0.464
```

Summary:
Formation energy (no corrections), meV/atom: -1311

---

# KCr2Rh

A relaxed structure of KCr2Rh (GGA-PBE, Alexandria via LeMat-Bulk).

```
data_KCr2Rh
_cell_length_a 2.952
_cell_length_b 4.270
_cell_length_c 15.722
_cell_angle_alpha 90.00
_cell_angle_beta 90.00
_cell_angle_gamma 90.00
_symmetry_space_group_name_H-M 'I m m 2'
_symmetry_Int_Tables_number 44
_symmetry_space_group_name_Hall 'I 2 -2'
loop_
_atom_site_label
_atom_site_fract_x
_atom_site_fract_y
_atom_site_fract_z
K1 0.000 0.000 0.000
Cr1 0.000 0.000 0.331
Cr2 0.000 0.500 0.186
Rh1 0.000 0.500 0.700
```

Summary:
Formation energy from the elements, eV per atom: 0.838
Polymorph energy (0 for the lowest one), eV/atom: 0.284

---

# Ba2MnAs3Pt4

A relaxed structure of Ba2MnAs3Pt4 (GGA-PBE, Alexandria via LeMat-Bulk).

```
data_Ba2MnAs3Pt4
_cell_length_a 4.540
_cell_length_b 4.540
_cell_length_c 10.397
_cell_angle_alpha 90.00
_cell_angle_beta 90.00
_cell_angle_gamma 90.00
_symmetry_space_group_name_H-M 'P -4 m 2'
_symmetry_Int_Tables_number 115
_symmetry_space_group_name_Hall 'P -4 -2'
loop_
_atom_site_label
_atom_site_fract_x
_atom_site_fract_y
_atom_site_fract_z
Ba1 0.000 0.500 0.249
Mn1 0.000 0.000 0.500
As1 0.000 0.500 0.876
As2 0.500 0.500 0.500
Pt1 0.000 0.000 0.000
Pt2 0.000 0.500 0.624
Pt3 0.500 0.500 0.000
```

Summary:
Formation energy from the elements, eV per atom: -0.660